VASP calculation (GGA-PBE) on an optimized crystal structure of InSe3Br.

Geometry as CIF:
```
data_InSe3Br
_cell_length_a 5.272
_cell_length_b 5.272
_cell_length_c 5.272
_cell_angle_alpha 90.00
_cell_angle_beta 90.00
_cell_angle_gamma 90.00
_symmetry_space_group_name_H-M 'P 1'
_symmetry_Int_Tables_number 1
_symmetry_space_group_name_Hall 'P 1'
loop_
_atom_site_label
_atom_site_type_symbol
_atom_site_fract_x
_atom_site_fract_y
_atom_site_fract_z
Se1 Se 0.000 0.500 0.000
Se2 Se 0.500 0.000 0.000
Se3 Se 0.000 0.000 0.500
Br1 Br 0.000 0.000 0.000
In1 In 0.500 0.500 0.500
```

Results
M_tot = 0.00 μB per formula unit
Uncorrected formation energy = 0.5818 eV/atom
Distance to the lowest polymorph of the same formula = 87.3 kJ/mol of atoms
Raw total energy = -2.391 eV/atom
Space group = Pm-3m (221)
DOS at the Fermi energy = 4.2 states/eV/f.u.